Entry 1:
# Ac3TcI3 | Alexandria | PBE | optimized geometry
data_Ac3TcI3
_chemical_formula_sum 'Ac6 Tc2 I6'
_cell_length_a 10.008
_cell_length_b 4.481
_cell_length_c 13.142
_cell_angle_alpha 90.00
_cell_angle_beta 92.90
_cell_angle_gamma 90.00
_space_group_name_H-M_alt 'P 1 21/m 1'
_space_group_IT_number 11
loop_
_space_group_symop_operation_xyz
'x,y,z'
'-x,-y,-z'
'-x,y+1/2,-z'
'x,-y+1/2,z'
loop_
_atom_site_label
_atom_site_type_symbol
_atom_site_fract_x
_atom_site_fract_y
_atom_site_fract_z
Ac1 Ac 0.092 0.250 0.391
Ac2 Ac 0.121 0.250 0.836
Ac3 Ac 0.318 0.750 0.625
Tc1 Tc 0.118 0.250 0.638
I1 I 0.127 0.250 0.117
I2 I 0.369 0.750 0.882
I3 I 0.388 0.750 0.369
# E_form (uncorrected) = -585.8 kJ/mol of formula units


Entry 2:
# AcTcI | Alexandria | PBE | optimized geometry
data_AcTcI
_chemical_formula_sum 'Ac6 Tc6 I6'
_cell_length_a 4.2843
_cell_length_b 4.2843
_cell_length_c 40.2253
_cell_angle_alpha 90.00
_cell_angle_beta 90.00
_cell_angle_gamma 120.00
_space_group_name_H-M_alt 'R -3 m'
_space_group_IT_number 166
_space_group_name_Hall '-R 3 2"'
loop_
_atom_site_label
_atom_site_type_symbol
_atom_site_fract_x
_atom_site_fract_y
_atom_site_fract_z
Ac1 Ac 0.0000 0.0000 0.0577
Tc1 Tc 0.0000 0.0000 0.3382
I1 I 0.0000 0.0000 0.2172
# E_form (uncorrected) = -199.1 kJ/mol of formula units
# Offset from the most stable computed form = 0 meV per atom


Entry 3:
# AcTcI | Alexandria | PBE | optimized geometry
data_AcTcI
_chemical_formula_sum 'Ac4 Tc4 I4'
_cell_length_a 7.261
_cell_length_b 4.194
_cell_length_c 14.267
_cell_angle_alpha 90.00
_cell_angle_beta 90.11
_cell_angle_gamma 90.00
_space_group_name_H-M_alt 'C 1 2/m 1'
_space_group_IT_number 12
loop_
_space_group_symop_operation_xyz
'x,y,z'
'-x,-y,-z'
'-x,y,-z'
'x,-y,z'
'x+1/2,y+1/2,z'
'-x+1/2,-y+1/2,-z'
'-x+1/2,y+1/2,-z'
'x+1/2,-y+1/2,z'
loop_
_atom_site_label
_atom_site_type_symbol
_atom_site_fract_x
_atom_site_fract_y
_atom_site_fract_z
Ac1 Ac 0.166 0.000 0.307
Tc1 Tc 0.167 0.000 0.516
I1 I 0.168 0.000 0.859
# E_form (uncorrected) = -120.3 kJ/mol of formula units
# Offset from the most stable computed form = 272 meV per atom


Entry 4:
# Ac2TcI | Alexandria | PBE | optimized geometry
data_Ac2TcI
_chemical_formula_sum 'Ac2 Tc1 I1'
_cell_length_a 3.773
_cell_length_b 3.773
_cell_length_c 8.905
_cell_angle_alpha 90.00
_cell_angle_beta 90.00
_cell_angle_gamma 90.00
_space_group_name_H-M_alt 'P 4/m m m'
_space_group_IT_number 123
_space_group_name_Hall '-P 4 2'
loop_
_atom_site_label
_atom_site_type_symbol
_atom_site_fract_x
_atom_site_fract_y
_atom_site_fract_z
Ac1 Ac 0.000 0.000 0.201
Tc1 Tc 0.500 0.500 0.000
I1 I 0.500 0.500 0.500
# E_form (uncorrected) = -127.1 kJ/mol of formula units


Entry 5:
# AcTeI6 | Alexandria | PBE | optimized geometry
data_AcTeI6
_chemical_formula_sum 'Ac1 Te1 I6'
_cell_length_a 7.583
_cell_length_b 7.829
_cell_length_c 8.298
_cell_angle_alpha 63.04
_cell_angle_beta 89.83
_cell_angle_gamma 64.77
_space_group_name_H-M_alt 'P -1'
_space_group_IT_number 2
loop_
_space_group_symop_operation_xyz
'x,y,z'
'-x,-y,-z'
loop_
_atom_site_label
_atom_site_type_symbol
_atom_site_fract_x
_atom_site_fract_y
_atom_site_fract_z
Ac1 Ac 0.000 0.000 0.000
Te1 Te 0.500 0.000 0.500
I1 I 0.069 0.514 0.242
I2 I 0.273 0.805 0.748
I3 I 0.440 0.825 0.266
# E_form (uncorrected) = -529.5 kJ/mol of formula units


Entry 6:
# Ac2TeI3 | Alexandria | PBE | optimized geometry
data_Ac2TeI3
_chemical_formula_sum 'Ac8 Te4 I12'
_cell_length_a 19.709
_cell_length_b 4.767
_cell_length_c 14.221
_cell_angle_alpha 90.00
_cell_angle_beta 124.23
_cell_angle_gamma 90.00
_space_group_name_H-M_alt 'C 1 2/m 1'
_space_group_IT_number 12
loop_
_space_group_symop_operation_xyz
'x,y,z'
'-x,-y,-z'
'-x,y,-z'
'x,-y,z'
'x+1/2,y+1/2,z'
'-x+1/2,-y+1/2,-z'
'-x+1/2,y+1/2,-z'
'x+1/2,-y+1/2,z'
loop_
_atom_site_label
_atom_site_type_symbol
_atom_site_fract_x
_atom_site_fract_y
_atom_site_fract_z
Ac1 Ac 0.106 0.000 0.449
Ac2 Ac 0.156 0.500 0.869
Te1 Te 0.094 0.000 0.673
I1 I 0.051 0.500 0.250
I2 I 0.142 0.000 0.028
I3 I 0.243 0.500 0.613
# E_form (uncorrected) = -825.4 kJ/mol of formula units
# Offset from the most stable computed form = 3 meV per atom


Entry 7:
# AcTe2I | Alexandria | PBE | optimized geometry
data_AcTe2I
_chemical_formula_sum 'Ac3 Te6 I3'
_cell_length_a 5.0697
_cell_length_b 5.0697
_cell_length_c 27.5914
_cell_angle_alpha 90.00
_cell_angle_beta 90.00
_cell_angle_gamma 120.00
_space_group_name_H-M_alt 'R -3 m'
_space_group_IT_number 166
_space_group_name_Hall '-R 3 2"'
loop_
_atom_site_label
_atom_site_type_symbol
_atom_site_fract_x
_atom_site_fract_y
_atom_site_fract_z
Ac1 Ac 0.0000 0.0000 0.0000
Te1 Te 0.0000 0.0000 0.3924
I1 I 0.0000 0.0000 0.5000
# E_form (uncorrected) = -349.4 kJ/mol of formula units
# Offset from the most stable computed form = 141 meV per atom


Entry 8:
# AcTeI | Alexandria | PBE | optimized geometry
data_AcTeI
_chemical_formula_sum 'Ac2 Te2 I2'
_cell_length_a 4.878
_cell_length_b 6.526
_cell_length_c 9.698
_cell_angle_alpha 90.00
_cell_angle_beta 90.44
_cell_angle_gamma 90.00
_space_group_name_H-M_alt 'P 1 21/m 1'
_space_group_IT_number 11
loop_
_space_group_symop_operation_xyz
'x,y,z'
'-x,-y,-z'
'-x,y+1/2,-z'
'x,-y+1/2,z'
loop_
_atom_site_label
_atom_site_type_symbol
_atom_site_fract_x
_atom_site_fract_y
_atom_site_fract_z
Ac1 Ac 0.247 0.250 0.353
Te1 Te 0.249 0.750 0.411
I1 I 0.256 0.750 0.876
# E_form (uncorrected) = -449.1 kJ/mol of formula units
# Offset from the most stable computed form = 0 meV per atom